Below is CaMn2P2H4O10 after structural relaxation, with properties calculated at the PBE+U level.

Cell: 5.4180 5.6741 7.8660 Å, 84.75 73.82 74.09°
Last column: nearest neighbours and their distance in Å.
Element x y z (fractional)
1 Ca 0.0000 0.0000 0.0000  7 O 2.36-2.56
2 Mn 0.2030 0.3869 0.4070  4 O 2.04-2.22
3 Mn 0.7644 0.6110 0.8330  5 O 2.10-2.34
4 P 0.2734 0.3785 0.0427  4 O 1.55-1.58
5 P 0.2898 0.8416 0.6184  4 O 1.53-1.58
6 H 0.4637 0.9401 0.1388  1 O 1.03
7 H 0.6486 0.4433 0.5569  1 O 1.03
8 H 0.6486 0.7048 0.2094  1 O 0.98
9 H 0.8426 0.1980 0.6310  1 O 1.01
10 O 0.1201 0.3912 0.9013  1 P 1.55
11 O 0.1596 0.6076 0.1636  1 P 1.56
12 O 0.2124 0.1570 0.1704  1 H 1.54, 1 P 1.58
13 O 0.3718 0.0498 0.4990  1 P 1.53
14 O 0.3924 0.5986 0.5101  1 H 1.55, 1 P 1.57
15 O 0.4031 0.8100 0.7833  1 P 1.56
16 O 0.5799 0.3253 0.9708  1 P 1.55
17 O 0.6443 0.8115 0.1050  2 H 0.98-1.03
18 O 0.8266 0.3734 0.5892  2 H 1.01-1.03
19 O 0.9786 0.8979 0.7005  1 P 1.58, 1 H 1.76

V = 11.8 A^3/atom
DFT total energy = -6.701 eV per atom
Magnetization = 10.000 μB per formula unit